No. 1
Here is a relaxed Sr3InGa2Au6 crystal from Alexandria via LeMat-Bulk. Energies are from PBE.

The structure in POSCAR format:
```
Sr3InGa2Au6
1.0
6.538 0.000 0.000
-3.269 5.662 0.000
0.000 0.000 8.470
Sr In Ga Au
3 1 2 6
direct
0.333 0.667 0.640 Sr
0.667 0.333 0.360 Sr
0.000 0.000 0.000 Sr
0.000 0.000 0.500 In
0.667 0.333 0.967 Ga
0.333 0.667 0.033 Ga
0.630 0.815 0.283 Au
0.185 0.370 0.283 Au
0.185 0.815 0.283 Au
0.815 0.630 0.717 Au
0.370 0.185 0.717 Au
0.815 0.185 0.717 Au
```

Final energy: -3.276 eV per atom
Formation energy: -0.4839 eV/atom
Symmetry: P-3m1 (164)
D(E_F): 0.39 states/eV/atom

=====

No. 2
Here is a relaxed Ca4CoCu crystal from Alexandria via LeMat-Bulk. Energies are from PBE.

The structure in POSCAR format:
```
Ca4CoCu
1.0
-5.237 -2.072 -3.156
-4.741 4.135 -1.452
-0.981 1.762 -6.133
Ca Co Cu
4 1 1
direct
0.874 0.375 0.375 Ca
0.375 0.375 0.874 Ca
0.375 0.874 0.375 Ca
0.375 0.375 0.375 Ca
0.750 0.750 0.750 Co
0.000 0.000 0.000 Cu
```

Final energy: -2.228 eV per atom
Formation energy: 0.9734 eV/atom
Symmetry: F-43m (216)
D(E_F): 1.95 states/eV/atom

=====

No. 3
Here is a relaxed Y2TcAg crystal from Alexandria via LeMat-Bulk. Energies are from PBE.

The structure in POSCAR format:
```
Y2TcAg
1.0
-2.607 -2.329 -2.890
2.817 -3.541 0.312
-4.944 -6.311 5.986
Y Tc Ag
4 2 2
direct
0.611 0.125 0.250 Y
0.139 0.625 0.250 Y
0.375 0.389 0.750 Y
0.875 0.861 0.750 Y
0.500 0.500 0.000 Tc
0.250 0.750 0.500 Tc
0.000 0.000 0.000 Ag
0.750 0.250 0.500 Ag
```

Final energy: -5.855 eV per atom
Formation energy: 0.6814 eV/atom
Symmetry: I-42d (122)
D(E_F): 1.06 states/eV/atom

=====

No. 4
Here is a relaxed CrIn crystal from Alexandria via LeMat-Bulk. Energies are from PBE.

The structure in POSCAR format:
```
CrIn
1.0
8.233 0.000 0.000
0.000 13.542 0.000
0.000 0.000 5.228
Cr In
16 16
direct
0.000 0.926 0.000 Cr
0.000 0.074 0.000 Cr
0.250 0.824 0.250 Cr
0.250 0.676 0.250 Cr
0.000 0.426 0.500 Cr
0.000 0.574 0.500 Cr
0.250 0.324 0.750 Cr
0.250 0.176 0.750 Cr
0.500 0.926 0.500 Cr
0.500 0.074 0.500 Cr
0.750 0.824 0.750 Cr
0.750 0.676 0.750 Cr
0.500 0.426 0.000 Cr
0.500 0.574 0.000 Cr
0.750 0.324 0.250 Cr
0.750 0.176 0.250 Cr
0.331 0.000 0.000 In
0.669 0.000 0.000 In
0.919 0.750 0.250 In
0.581 0.750 0.250 In
0.331 0.500 0.500 In
0.669 0.500 0.500 In
0.919 0.250 0.750 In
0.581 0.250 0.750 In
0.831 0.000 0.500 In
0.169 0.000 0.500 In
0.419 0.750 0.750 In
0.081 0.750 0.750 In
0.831 0.500 0.000 In
0.169 0.500 0.000 In
0.419 0.250 0.250 In
0.081 0.250 0.250 In
```

Final energy: -5.515 eV per atom
Formation energy: 0.6660 eV/atom
Symmetry: Fddd (70)
D(E_F): 0.94 states/eV/atom

=====

No. 5
Here is a relaxed TiSnOs2 crystal from Alexandria via LeMat-Bulk. Energies are from PBE.

The structure in POSCAR format:
```
TiSnOs2
1.0
-1.961 0.031 -4.164
-0.927 -2.902 0.415
-6.246 2.988 6.950
Os Sn Ti
4 2 2
direct
0.351 0.000 0.568 Os
0.351 0.500 0.068 Os
0.962 0.000 0.828 Os
0.962 0.500 0.328 Os
0.847 0.000 0.081 Sn
0.847 0.500 0.581 Sn
0.464 0.000 0.319 Ti
0.464 0.500 0.819 Ti
```

Final energy: -8.628 eV per atom
Formation energy: -0.0385 eV/atom
Symmetry: Cm (8)
D(E_F): 0.43 states/eV/atom

=====

No. 6
Here is a relaxed AcTb4CeS8 crystal from Alexandria via LeMat-Bulk. Energies are from PBE.

The structure in POSCAR format:
```
AcTb4CeS8
1.0
-0.752 5.032 -6.461
-0.906 -3.117 -7.556
-7.271 0.658 -3.875
Ac Tb Ce S
1 4 1 8
direct
0.375 0.375 0.874 Ac
0.625 0.625 0.125 Tb
0.998 0.507 0.497 Tb
0.507 0.998 0.497 Tb
0.998 0.998 0.497 Tb
0.998 0.998 0.007 Ce
0.239 0.793 0.728 S
0.793 0.239 0.728 S
0.239 0.239 0.728 S
0.236 0.236 0.293 S
0.750 0.234 0.265 S
0.234 0.750 0.265 S
0.750 0.750 0.265 S
0.757 0.757 0.730 S
```

Final energy: -6.316 eV per atom
Symmetry: R3m (160)
D(E_F): 0.79 states/eV/atom
Formation energy from raw total energies: -1.917 eV per atom

=====

No. 7
Here is a relaxed La2TbPrSc crystal from Alexandria via LeMat-Bulk. Energies are from PBE.

The structure in POSCAR format:
```
La2TbPrSc
1.0
6.549 0.000 0.000
0.000 6.543 0.000
0.000 -3.272 8.015
La Tb Pr Sc
4 2 2 2
direct
0.500 0.246 0.000 La
0.000 0.754 0.000 La
0.500 0.754 0.000 La
0.000 0.246 0.000 La
0.750 0.754 0.508 Tb
0.250 0.246 0.492 Tb
0.250 0.664 0.327 Pr
0.750 0.336 0.673 Pr
0.250 0.847 0.693 Sc
0.750 0.153 0.307 Sc
```

Final energy: -4.770 eV per atom
Formation energy: 0.3496 eV/atom
Symmetry: Cmcm (63)
D(E_F): 1.48 states/eV/atom

=====

No. 8
Here is a relaxed LaPaCoTc crystal from Alexandria via LeMat-Bulk. Energies are from PBE.

The structure in POSCAR format:
```
LaPaCoTc
1.0
-0.259 -0.023 4.889
-3.975 -1.783 2.232
0.257 -4.234 2.445
Pa Co Tc La
1 1 1 1
direct
0.000 0.000 0.000 Pa
0.250 0.250 0.250 Co
0.750 0.750 0.750 Tc
0.500 0.500 0.500 La
```

Final energy: -7.889 eV per atom
Formation energy: 0.0850 eV/atom
Symmetry: F-43m (216)
D(E_F): 0.83 states/eV/atom

=====

No. 9
Here is a relaxed Ni2Bi3 crystal from Alexandria via LeMat-Bulk. Energies are from PBE.

The structure in POSCAR format:
```
Ni2Bi3
1.0
6.888 0.000 0.000
3.444 5.965 0.000
3.444 1.988 5.537
Ni Bi
4 6
direct
0.830 0.830 0.509 Ni
0.330 0.330 0.009 Ni
0.170 0.170 0.491 Ni
0.670 0.670 0.991 Ni
0.095 0.750 0.750 Bi
0.750 0.405 0.750 Bi
0.405 0.095 0.750 Bi
0.250 0.595 0.250 Bi
0.595 0.905 0.250 Bi
0.905 0.250 0.250 Bi
```

Final energy: -4.644 eV per atom
Formation energy: -0.0030 eV/atom
Symmetry: R-3c (167)
D(E_F): 0.59 states/eV/atom

=====

No. 10
Here is a relaxed HfCoCu2Re crystal from Alexandria via LeMat-Bulk. Energies are from PBE.

The structure in POSCAR format:
```
HfCoCu2Re
1.0
4.677 0.000 0.000
0.000 4.783 0.000
0.000 0.000 4.677
Re Hf Cu Co
1 1 2 1
direct
0.000 0.000 0.000 Re
0.000 0.500 0.000 Hf
0.000 0.000 0.500 Cu
0.500 0.000 0.000 Cu
0.500 0.500 0.500 Co
```

Final energy: -6.014 eV per atom
Formation energy: 1.5259 eV/atom
Symmetry: P4/mmm (123)
D(E_F): 1.79 states/eV/atom

=====

No. 11
Here is a relaxed Li2CaNd2Ge2 crystal from Alexandria via LeMat-Bulk. Energies are from PBE.

The structure in POSCAR format:
```
Li2CaNd2Ge2
1.0
-1.357 4.345 -0.662
-0.881 1.512 -4.254
-9.610 -0.679 -0.739
Li Ca Nd Ge
2 1 2 2
direct
0.602 0.602 0.195 Li
0.398 0.398 0.805 Li
0.000 0.000 0.000 Ca
0.127 0.127 0.620 Nd
0.873 0.873 0.380 Nd
0.740 0.740 0.779 Ge
0.260 0.260 0.221 Ge
```

Final energy: -3.989 eV per atom
Formation energy: -0.4747 eV/atom
Symmetry: R-3m (166)
D(E_F): 0.47 states/eV/atom

=====

No. 12
Here is a relaxed CeYAu4 crystal from Alexandria via LeMat-Bulk. Energies are from PBE.

The structure in POSCAR format:
```
CeYAu4
1.0
-3.784 0.210 -0.123
0.084 -0.686 -3.728
-0.558 -9.085 1.660
Ce Y Au
1 1 4
direct
0.000 0.000 0.000 Ce
0.500 0.500 0.500 Y
0.500 0.500 0.828 Au
0.500 0.500 0.172 Au
0.000 0.000 0.661 Au
0.000 0.000 0.339 Au
```

Final energy: -5.003 eV per atom
Formation energy: -0.7523 eV/atom
Symmetry: P4/mmm (123)
D(E_F): 1.21 states/eV/atom

=====

Copy entry 10 word for word.
Here is a relaxed HfCoCu2Re crystal from Alexandria via LeMat-Bulk. Energies are from PBE.

The structure in POSCAR format:
```
HfCoCu2Re
1.0
4.677 0.000 0.000
0.000 4.783 0.000
0.000 0.000 4.677
Re Hf Cu Co
1 1 2 1
direct
0.000 0.000 0.000 Re
0.000 0.500 0.000 Hf
0.000 0.000 0.500 Cu
0.500 0.000 0.000 Cu
0.500 0.500 0.500 Co
```

Final energy: -6.014 eV per atom
Formation energy: 1.5259 eV/atom
Symmetry: P4/mmm (123)
D(E_F): 1.79 states/eV/atom

=====

final energy of number 8 (LaPaCoTc)?
-7.889 eV per atom

=====

What is the D(E_F) in the fifth record?
0.43 states/eV/atom